VASP calculation (GGA-PBE) on crystalline Ca3ErAu4 at its relaxed geometry.

Cell and atoms, written as CIF:
```
data_Ca3ErAu4
_cell_length_a 3.619
_cell_length_b 3.619
_cell_length_c 14.541
_cell_angle_alpha 90.00
_cell_angle_beta 90.00
_cell_angle_gamma 90.00
_symmetry_space_group_name_H-M 'P 4/m m m'
_symmetry_Int_Tables_number 123
_symmetry_space_group_name_Hall '-P 4 2'
loop_
_atom_site_label
_atom_site_type_symbol
_atom_site_fract_x
_atom_site_fract_y
_atom_site_fract_z
Ca1 Ca 0.000 0.000 0.000
Ca2 Ca 0.000 0.000 0.251
Er1 Er 0.000 0.000 0.500
Au1 Au 0.500 0.500 0.126
Au2 Au 0.500 0.500 0.388
```

DFT total energy, eV per atom: -3.7784
N(E_F), states/eV/cell: 4.17

***

VASP calculation (GGA-PBE) on crystalline SrFeRu at its relaxed geometry.

Cell and atoms, written as CIF:
```
data_SrFeRu
_cell_length_a 6.243
_cell_length_b 6.243
_cell_length_c 6.243
_cell_angle_alpha 90.00
_cell_angle_beta 90.00
_cell_angle_gamma 90.00
_symmetry_space_group_name_H-M 'F -4 3 m'
_symmetry_Int_Tables_number 216
_symmetry_space_group_name_Hall 'F -4 2 3'
loop_
_atom_site_label
_atom_site_type_symbol
_atom_site_fract_x
_atom_site_fract_y
_atom_site_fract_z
Sr1 Sr 0.000 0.000 0.000
Fe1 Fe 0.250 0.250 0.750
Ru1 Ru 0.000 0.000 0.500
```

Energy above the most stable polymorph in this dataset, eV/atom: 0.8477
DFT total energy, eV per atom: -5.3428
N(E_F), states/eV/cell: 38.96

***

VASP calculation (GGA-PBE) on crystalline RbPuCd2O6 at its relaxed geometry.

Cell and atoms, written as CIF:
```
data_RbPuCd2O6
_cell_length_a 5.922
_cell_length_b 5.931
_cell_length_c 6.370
_cell_angle_alpha 90.10
_cell_angle_beta 117.59
_cell_angle_gamma 119.88
_symmetry_space_group_name_H-M 'P 1'
_symmetry_Int_Tables_number 1
loop_
_symmetry_equiv_pos_as_xyz
'x,y,z'
loop_
_atom_site_label
_atom_site_type_symbol
_atom_site_fract_x
_atom_site_fract_y
_atom_site_fract_z
Rb1 Rb 0.000 0.000 0.000
Pu1 Pu 0.947 0.474 0.420
Cd1 Cd 0.538 0.269 0.807
Cd2 Cd 0.579 0.791 0.370
O1 O 0.078 0.454 0.183
O2 O 0.100 0.257 0.619
O3 O 0.365 0.845 0.619
O4 O 0.560 0.107 0.184
O5 O 0.731 0.626 0.185
O6 O 0.777 0.521 0.620
```

DFT total energy, eV per atom: -6.3565
E_form (uncorrected), eV/atom: -1.669

***

VASP calculation (GGA-PBE) on crystalline La2Sb2Ir at its relaxed geometry.

Cell and atoms, written as CIF:
```
data_La2Sb2Ir
_cell_length_a 7.163
_cell_length_b 7.163
_cell_length_c 5.106
_cell_angle_alpha 90.00
_cell_angle_beta 90.00
_cell_angle_gamma 90.00
_symmetry_space_group_name_H-M 'P 4/m b m'
_symmetry_Int_Tables_number 127
_symmetry_space_group_name_Hall '-P 4 2ab'
loop_
_atom_site_label
_atom_site_type_symbol
_atom_site_fract_x
_atom_site_fract_y
_atom_site_fract_z
La1 La 0.170 0.330 0.000
Sb1 Sb 0.148 0.648 0.500
Ir1 Ir 0.000 0.000 0.500
```

DFT total energy, eV per atom: -6.1285
E_form (uncorrected), eV/atom: -0.736
N(E_F), states/eV/cell: 11.60

***

> Among the records above, which one has the highest DFT total energy?

Ca3ErAu4

***

> What is the DFT total energy in the fourth record?

-6.1285 eV per atom

***

> Which of these has the highest DFT total energy?

Ca3ErAu4

***

> DFT total energy of number 4 (La2Sb2Ir)?

-6.1285 eV per atom